Record 1
The following is a GGA-PBE calculation of a relaxed structure of ThCdAg2, from the Alexandria database.

Output
Distance to the lowest polymorph of the same formula ... 82 meV/atom
Energy relative to the elements ... -0.07 eV/atom
Raw total energy ... -3.58 eV/atom

a = 3.4367 Å, b = 3.4367 Å, c = 7.6446 Å
α = 90.00°, β = 90.00°, γ = 90.00°
Last column: nearest neighbours and their distance in Å.
Space group P4/mmm (No. 123)
Inequivalent atoms, fractional coordinates:
Th 0.0000 0.0000 0.0000  8 Ag 3.25, 4 Th 3.44
Cd 0.0000 0.0000 0.5000  8 Ag 2.94
Ag 0.5000 0.5000 0.2832  4 Cd 2.94, 4 Th 3.25

***

Record 2
The following is a GGA-PBE calculation of a relaxed structure of SmYTl6, from the Alexandria database.

Output
Energy relative to the elements ... -0.27 eV/atom
Raw total energy ... -3.45 eV/atom

a = 4.7918 Å, b = 4.7918 Å, c = 9.5758 Å
α = 90.00°, β = 90.00°, γ = 90.00°
Last column: nearest neighbours and their distance in Å.
Space group P4/mmm (No. 123)
Inequivalent atoms, fractional coordinates:
Sm 0.0000 0.0000 0.0000  12 Tl 3.39-3.40
Y 0.0000 0.0000 0.5000  12 Tl 3.37-3.39
Tl 0.0000 0.5000 0.2518  8 Tl 3.37-3.40, 2 Y 3.37, 2 Sm 3.40
Tl 0.5000 0.5000 0.0000  4 Sm 3.39, 8 Tl 3.40
Tl 0.5000 0.5000 0.5000  8 Tl 3.37, 4 Y 3.39

***

Record 3
The following is a GGA-PBE calculation of a relaxed structure of PuZrPdRu, from the Alexandria database.

Output
Energy relative to the elements ... -0.35 eV/atom
Raw total energy ... -9.69 eV/atom

a = 6.7632 Å, b = 6.7632 Å, c = 6.7632 Å
α = 90.00°, β = 90.00°, γ = 90.00°
Last column: nearest neighbours and their distance in Å.
Space group F-43m (No. 216)
Inequivalent atoms, fractional coordinates:
Pu 0.0000 0.0000 0.0000  4 Pd 2.93, 4 Ru 2.93
Zr 0.0000 0.0000 0.5000  4 Ru 2.93, 4 Pd 2.93
Pd 0.2500 0.2500 0.2500  4 Zr 2.93, 4 Pu 2.93
Ru 0.2500 0.2500 0.7500  4 Zr 2.93, 4 Pu 2.93

***

Record 4
The following is a GGA-PBE calculation of a relaxed structure of LiPu3B2N6, from the Alexandria database.

Output
Raw formation energy ... -894.2 meV per atom
Raw total energy ... -9.91 eV/atom

a = 5.3428 Å, b = 5.3428 Å, c = 5.6904 Å
α = 90.00°, β = 90.00°, γ = 120.00°
Last column: nearest neighbours and their distance in Å.
Space group P-3m1 (No. 164)
Inequivalent atoms, fractional coordinates:
Li 0.0000 0.0000 0.0000  6 N 2.14
Pu 0.0000 0.0000 0.5000  6 N 2.22
Pu 0.3333 0.6667 0.1658  1 B 2.51, 9 N 2.71
B 0.3333 0.6667 0.7244  3 N 1.45
N 0.1785 0.3570 0.7614  1 B 1.45

***

Record 5
The following is a GGA-PBE calculation of a relaxed structure of CsPm3Te4, from the Alexandria database.

Output
Raw formation energy ... -1409.6 meV per atom
Raw total energy ... -4.87 eV/atom

a = 4.5519 Å, b = 4.5519 Å, c = 32.3417 Å
α = 90.00°, β = 90.00°, γ = 120.00°
Last column: nearest neighbours and their distance in Å.
Space group P6_3/mmc (No. 194)
Inequivalent atoms, fractional coordinates:
Cs 0.3333 0.6667 0.2500  6 Te 3.80
Pm 0.0000 0.0000 0.0000  6 Te 3.18
Pm 0.3333 0.6667 0.6106  6 Te 3.16-3.18
Te 0.0000 0.0000 0.1650  3 Pm 3.16
Te 0.3333 0.6667 0.0552  6 Pm 3.18

***

Record 6
The following is a GGA-PBE calculation of a relaxed structure of Pr6BiSb5, from the Alexandria database.

Output
Raw formation energy ... -1153.4 meV per atom
Raw total energy ... -5.58 eV/atom

a = 7.9190 Å, b = 13.7118 Å, c = 7.9182 Å
α = 90.00°, β = 109.45°, γ = 90.00°
Last column: nearest neighbours and their distance in Å.
Space group C2/m (No. 12)
Inequivalent atoms, fractional coordinates:
Pr 0.2469 0.0000 0.2513  5 Sb 3.20-3.23, 1 Bi 3.26
Pr 0.2475 0.1684 0.7479  5 Sb 3.21-3.24, 1 Bi 3.26
Bi 0.0000 0.5000 0.0000  6 Pr 3.26
Sb 0.0000 0.0000 0.5000  6 Pr 3.20-3.24
Sb 0.0000 0.1668 0.0000  6 Pr 3.23
Sb 0.0000 0.3344 0.5000  6 Pr 3.21-3.24

***

Record 7
The following is a GGA-PBE calculation of a relaxed structure of Nd8P3PtS4, from the Alexandria database.

Output
Raw formation energy ... -1740.0 meV per atom
Raw total energy ... -6.55 eV/atom

a = 8.2737 Å, b = 8.2737 Å, c = 20.2436 Å
α = 90.00°, β = 90.00°, γ = 120.00°
Last column: nearest neighbours and their distance in Å.
Space group R-3m (No. 166, hexagonal axes)
Inequivalent atoms, fractional coordinates:
Nd 0.0000 0.0000 0.2476  3 P 2.90, 3 S 2.95
Nd 0.0045 0.5022 0.7509  2 P 2.90, 3 S 2.91-2.95, 1 Pt 2.94
P 0.0000 0.5000 0.5000  6 Nd 2.90
Pt 0.0000 0.0000 0.5000  6 Nd 2.94
S 0.0000 0.0000 0.0000  6 Nd 2.91
S 0.0000 0.5000 0.0000  6 Nd 2.95

***

Record 8
The following is a GGA-PBE calculation of a relaxed structure of AcPr2HoSe5, from the Alexandria database.

Output
Raw formation energy ... -1398.6 meV per atom
Raw total energy ... -5.36 eV/atom

a = 5.1561 Å, b = 5.1561 Å, c = 11.3796 Å
α = 90.00°, β = 90.00°, γ = 90.00°
Last column: nearest neighbours and their distance in Å.
Space group P4/mmm (No. 123)
Inequivalent atoms, fractional coordinates:
Ac 0.0000 0.0000 0.0000  2 Se 2.93
Pr 0.5000 0.5000 0.3409  4 Se 3.15
Ho 0.0000 0.0000 0.5000  6 Se 2.58-2.76
Se 0.0000 0.0000 0.2572  1 Ho 2.76, 1 Ac 2.93
Se 0.0000 0.5000 0.5000  2 Ho 2.58
Se 0.5000 0.5000 0.0000  4 Ac 3.65, 2 Pr 3.88

***

Record 9
The following is a GGA-PBE calculation of a relaxed structure of HfTaBe3, from the Alexandria database.

Output
Distance to the lowest polymorph of the same formula ... 621 meV/atom
Energy relative to the elements ... 1.71 eV/atom
Raw total energy ... -4.89 eV/atom

a = 4.3060 Å, b = 4.3060 Å, c = 4.3060 Å
α = 90.00°, β = 90.00°, γ = 90.00°
Last column: nearest neighbours and their distance in Å.
Space group Pm-3m (No. 221)
Inequivalent atoms, fractional coordinates:
Hf 0.0000 0.0000 0.0000  6 Be 2.15
Ta 0.5000 0.5000 0.5000  12 Be 3.04
Be 0.0000 0.0000 0.5000  2 Hf 2.15

***

Record 10
The following is a GGA-PBE calculation of a relaxed structure of NaYC, from the Alexandria database.

Output
Distance to the lowest polymorph of the same formula ... 1122 meV/atom
Energy relative to the elements ... 0.99 eV/atom
Raw total energy ... -4.68 eV/atom

a = 5.9896 Å, b = 5.9896 Å, c = 5.9896 Å
α = 90.00°, β = 90.00°, γ = 90.00°
Last column: nearest neighbours and their distance in Å.
Space group F-43m (No. 216)
Inequivalent atoms, fractional coordinates:
Na 0.0000 0.0000 0.0000  4 Y 2.59
Y 0.2500 0.2500 0.2500  4 Na 2.59, 4 C 2.59
C 0.0000 0.0000 0.5000  4 Y 2.59

***

Record 11
The following is a GGA-PBE calculation of a relaxed structure of Ac4Ga2Si5, from the Alexandria database.

Output
Raw formation energy ... -528.6 meV per atom
Raw total energy ... -5.04 eV/atom

a = 7.2766 Å, b = 4.6832 Å, c = 8.3002 Å
α = 90.00°, β = 92.51°, γ = 90.00°
Last column: nearest neighbours and their distance in Å.
Space group P2/m (No. 10)
Inequivalent atoms, fractional coordinates:
Ac 0.2389 0.0000 0.1310  8 Si 3.23-3.41, 2 Ga 3.31
Ac 0.2599 0.0000 0.6348  6 Si 3.26-3.50, 4 Ga 3.39-3.44
Ga 0.0870 0.5000 0.3740  2 Si 2.49-2.51, 1 Ga 2.49
Si 0.1016 0.5000 0.8869  1 Si 2.44, 1 Ga 2.51
Si 0.4280 0.5000 0.3653  1 Si 2.43, 1 Ga 2.49
Si 0.5000 0.5000 0.0000  4 Si 3.01-3.10, 4 Ac 3.23

***

Record 12
The following is a GGA-PBE calculation of a relaxed structure of ReMo2N2, from the Alexandria database.

Output
Distance to the lowest polymorph of the same formula ... 0 meV/atom
Raw formation energy ... 389.2 meV per atom
Raw total energy ... -9.76 eV/atom

a = 3.2363 Å, b = 3.2363 Å, c = 11.7616 Å
α = 90.00°, β = 90.00°, γ = 90.00°
Last column: nearest neighbours and their distance in Å.
Space group I4/mmm (No. 139)
Inequivalent atoms, fractional coordinates:
Re 0.0000 0.0000 0.0000  8 Mo 2.84
Mo 0.0000 0.0000 0.3573  4 N 2.05
N 0.0000 0.5000 0.2500  4 Mo 2.05, 4 N 2.29